No. 1
Crystalline Hf8Sn3H2 at its relaxed geometry. Source: Alexandria, functional PBE.

Properties
Fermi-level density of states (states/eV/cell): 9.59
Symmetry: No. 166
Total DFT energy (no corrections) (eV per atom): -7.793

abc: 8.9053 8.9053 8.9053
angles: 39.10 39.10 39.10
Positions (direct):
Hf  0.1815  0.1815  0.1815
Hf  0.2284  0.2284  0.7366
Hf  0.2284  0.7366  0.2284
Hf  0.2634  0.7716  0.7716
Hf  0.7366  0.2284  0.2284
Hf  0.7716  0.2634  0.7716
Hf  0.7716  0.7716  0.2634
Hf  0.8185  0.8185  0.8185
Sn  0.2993  0.2993  0.2993
Sn  0.5000  0.5000  0.5000
Sn  0.7007  0.7007  0.7007
H  0.1040  0.1040  0.1040
H  0.8960  0.8960  0.8960

***

No. 2
Crystalline Hf5Sn4H at its relaxed geometry. Source: Alexandria, functional PBE.

Properties
Fermi-level density of states (states/eV/cell): 6.75
Symmetry: No. 79
Total DFT energy (no corrections) (eV per atom): -6.981

abc: 6.7530 6.7530 6.7530
angles: 99.73 99.73 131.46
Positions (direct):
Hf  0.0000  0.0000  0.0000
Hf  0.2642  0.5936  0.9039
Hf  0.3602  0.2642  0.6706
Hf  0.5936  0.6896  0.3294
Hf  0.6896  0.3602  0.0961
Sn  0.0341  0.3131  0.3922
Sn  0.3131  0.9210  0.2790
Sn  0.6419  0.0341  0.7210
Sn  0.9210  0.6419  0.6078
H  0.6195  0.6195  0.0000

***

No. 3
Crystalline Hf4Sn5H2 at its relaxed geometry. Source: Alexandria, functional PBE.

Properties
Fermi-level density of states (states/eV/cell): 6.65
Symmetry: No. 12
Total DFT energy (no corrections) (eV per atom): -6.184

abc: 8.7138 8.7138 8.0006
angles: 93.68 93.68 21.34
Positions (direct):
Hf  0.0131  0.0131  0.3114
Hf  0.3490  0.3490  0.4426
Hf  0.6510  0.6510  0.5574
Hf  0.9869  0.9869  0.6886
Sn  0.1522  0.1522  0.8879
Sn  0.1897  0.1897  0.2552
Sn  0.5000  0.5000  0.0000
Sn  0.8103  0.8103  0.7448
Sn  0.8478  0.8478  0.1121
H  0.4579  0.4579  0.3826
H  0.5421  0.5421  0.6174

***

No. 4
Crystalline Hf3SnH at its relaxed geometry. Source: Alexandria, functional PBE.

Properties
Fermi-level density of states (states/eV/cell): 12.00
Symmetry: No. 15
Total DFT energy (no corrections) (eV per atom): -7.501
Relative energy among the computed polymorphs (meV/atom): 259

abc: 8.0015 8.0015 6.1646
angles: 102.98 102.98 90.59
Positions (direct):
Hf  0.0143  0.2314  0.1874
Hf  0.2314  0.0143  0.6874
Hf  0.2344  0.5163  0.5712
Hf  0.2447  0.5013  0.0689
Hf  0.4837  0.7656  0.9288
Hf  0.4987  0.7553  0.4311
Hf  0.5013  0.2447  0.5689
Hf  0.5163  0.2344  0.0712
Hf  0.7553  0.4987  0.9311
Hf  0.7656  0.4837  0.4288
Hf  0.7686  0.9857  0.3126
Hf  0.9857  0.7686  0.8126
Sn  0.0154  0.7236  0.3081
Sn  0.2764  0.9846  0.1919
Sn  0.7236  0.0154  0.8081
Sn  0.9846  0.2764  0.6919
H  0.2319  0.7681  0.7500
H  0.4952  0.5048  0.7500
H  0.5048  0.4952  0.2500
H  0.7681  0.2319  0.2500

***

No. 5
Crystalline Hf3SnH3 at its relaxed geometry. Source: Alexandria, functional PBE.

Properties
Fermi-level density of states (states/eV/cell): 5.50
Symmetry: No. 148
Total DFT energy (no corrections) (eV per atom): -6.510
Relative energy among the computed polymorphs (meV/atom): 177

abc: 8.3030 8.3030 8.3030
angles: 39.09 39.09 39.09
Positions (direct):
Hf  0.0658  0.7266  0.3982
Hf  0.2734  0.6018  0.9342
Hf  0.3982  0.0658  0.7266
Hf  0.6018  0.9342  0.2734
Hf  0.7266  0.3982  0.0658
Hf  0.9342  0.2734  0.6018
Sn  0.1665  0.1665  0.1665
Sn  0.8335  0.8335  0.8335
H  0.0267  0.3575  0.6937
H  0.3063  0.9733  0.6425
H  0.3575  0.6937  0.0267
H  0.6425  0.3063  0.9733
H  0.6937  0.0267  0.3575
H  0.9733  0.6425  0.3063

***

No. 6
Crystalline HfSnH at its relaxed geometry. Source: Alexandria, functional PBE.

Properties
Fermi-level density of states (states/eV/cell): 5.67
Symmetry: No. 12
Total DFT energy (no corrections) (eV per atom): -5.955
Relative energy among the computed polymorphs (meV/atom): 186

abc: 10.1859 10.1859 6.3021
angles: 99.08 99.08 18.09
Positions (direct):
Hf  0.1823  0.1823  0.0865
Hf  0.1823  0.1823  0.5943
Hf  0.8177  0.8177  0.4057
Hf  0.8177  0.8177  0.9135
Sn  0.0546  0.0546  0.7740
Sn  0.4199  0.4199  0.7122
Sn  0.5801  0.5801  0.2878
Sn  0.9454  0.9454  0.2260
H  0.2503  0.2503  0.3765
H  0.2516  0.2516  0.8744
H  0.7484  0.7484  0.1256
H  0.7497  0.7497  0.6235

***

No. 7
Crystalline Hf6Sn2H at its relaxed geometry. Source: Alexandria, functional PBE.

Properties
Fermi-level density of states (states/eV/cell): 7.92
Symmetry: No. 139
Total DFT energy (no corrections) (eV per atom): -8.189
Relative energy among the computed polymorphs (meV/atom): 0

abc: 6.2612 6.2612 6.2612
angles: 119.56 119.56 90.77
Positions (direct):
Hf  0.2475  0.2475  0.0000
Hf  0.2485  0.2485  0.4970
Hf  0.2485  0.7515  0.0000
Hf  0.7515  0.2485  0.0000
Hf  0.7515  0.7515  0.5030
Hf  0.7525  0.7525  0.0000
Sn  0.2500  0.7500  0.5000
Sn  0.7500  0.2500  0.5000
H  0.5000  0.5000  0.0000

***

No. 8
Crystalline Hf6SnH at its relaxed geometry. Source: Alexandria, functional PBE.

Properties
Fermi-level density of states (states/eV/cell): 5.43
Symmetry: No. 2
Total DFT energy (no corrections) (eV per atom): -8.215

abc: 5.7536 5.7561 6.9980
angles: 65.75 65.79 60.04
Positions (direct):
Hf  0.0323  0.4040  0.3071
Hf  0.2436  0.9679  0.6928
Hf  0.4037  0.7562  0.3076
Hf  0.5963  0.2438  0.6924
Hf  0.7564  0.0321  0.3072
Hf  0.9677  0.5960  0.6929
Sn  0.5000  0.5000  0.0000
H  0.0000  0.0000  0.5000

***

No. 9
Crystalline HfSn2H at its relaxed geometry. Source: Alexandria, functional PBE.

Properties
Fermi-level density of states (states/eV/cell): 4.35
Symmetry: No. 122
Total DFT energy (no corrections) (eV per atom): -5.184
Relative energy among the computed polymorphs (meV/atom): 349

abc: 5.8058 5.8058 5.8058
angles: 109.18 109.18 110.05
Positions (direct):
Hf  0.0000  0.0000  0.0000
Hf  0.7500  0.2500  0.5000
Sn  0.2147  0.6250  0.0897
Sn  0.3750  0.4647  0.5897
Sn  0.5353  0.1250  0.9103
Sn  0.8750  0.7853  0.4103
H  0.2500  0.7500  0.5000
H  0.5000  0.5000  0.0000

***

No. 10
Crystalline HfSn2H at its relaxed geometry. Source: Alexandria, functional PBE.

Properties
Fermi-level density of states (states/eV/cell): 1.88
Symmetry: No. 8
Total DFT energy (no corrections) (eV per atom): -5.532
Relative energy among the computed polymorphs (meV/atom): 0

abc: 3.4622 3.4622 7.5217
angles: 90.11 90.11 57.97
Positions (direct):
Hf  0.0000  0.0000  0.0000
Sn  0.3307  0.3307  0.6906
Sn  0.3317  0.3317  0.3091
H  0.6728  0.6728  0.9995

***

No. 11
Crystalline HfSn2H at its relaxed geometry. Source: Alexandria, functional PBE.

Properties
Fermi-level density of states (states/eV/cell): 3.75
Symmetry: No. 225
Total DFT energy (no corrections) (eV per atom): -4.761
Relative energy among the computed polymorphs (meV/atom): 772

abc: 4.8998 4.8998 4.8998
angles: 60.00 60.00 60.00
Positions (direct):
Hf  0.0000  0.0000  0.0000
Sn  0.2500  0.2500  0.2500
Sn  0.7500  0.7500  0.7500
H  0.5000  0.5000  0.5000

***

No. 12
Crystalline Hf4Sn3H4 at its relaxed geometry. Source: Alexandria, functional PBE.

Properties
Fermi-level density of states (states/eV/cell): 2.59
Symmetry: No. 71
Total DFT energy (no corrections) (eV per atom): -6.031

abc: 8.5490 8.5490 8.5490
angles: 158.51 126.93 57.91
Positions (direct):
Hf  0.1856  0.1856  0.0000
Hf  0.3053  0.5000  0.8053
Hf  0.6947  0.5000  0.1947
Hf  0.8144  0.8144  0.0000
Sn  0.0000  0.0000  0.0000
Sn  0.3552  0.8552  0.5000
Sn  0.6448  0.1448  0.5000
H  0.0044  0.3574  0.6470
H  0.2896  0.6426  0.6470
H  0.7104  0.3574  0.3530
H  0.9956  0.6426  0.3530

***

No. 13
Crystalline Hf3Sn2H at its relaxed geometry. Source: Alexandria, functional PBE.

Properties
Fermi-level density of states (states/eV/cell): 8.72
Symmetry: No. 15
Total DFT energy (no corrections) (eV per atom): -7.042

abc: 7.2121 7.2121 6.3441
angles: 98.39 98.39 45.95
Positions (direct):
Hf  0.0243  0.9757  0.7500
Hf  0.3925  0.4001  0.3606
Hf  0.4001  0.3925  0.8606
Hf  0.5999  0.6075  0.1394
Hf  0.6075  0.5999  0.6394
Hf  0.9757  0.0243  0.2500
Sn  0.1895  0.1972  0.0522
Sn  0.1972  0.1895  0.5522
Sn  0.8028  0.8105  0.4478
Sn  0.8105  0.8028  0.9478
H  0.3191  0.6809  0.2500
H  0.6809  0.3191  0.7500

***

No. 14
Crystalline Hf3SnH3 at its relaxed geometry. Source: Alexandria, functional PBE.

Properties
Fermi-level density of states (states/eV/cell): 7.28
Symmetry: No. 223
Total DFT energy (no corrections) (eV per atom): -6.687
Relative energy among the computed polymorphs (meV/atom): 0

abc: 5.7092 5.7092 5.7092
angles: 90.00 90.00 90.00
Positions (direct):
Hf  0.0000  0.2500  0.5000
Hf  0.0000  0.7500  0.5000
Hf  0.2500  0.5000  0.0000
Hf  0.5000  0.0000  0.2500
Hf  0.5000  0.0000  0.7500
Hf  0.7500  0.5000  0.0000
Sn  0.0000  0.0000  0.0000
Sn  0.5000  0.5000  0.5000
H  0.0000  0.5000  0.2500
H  0.0000  0.5000  0.7500
H  0.2500  0.0000  0.5000
H  0.5000  0.2500  0.0000
H  0.5000  0.7500  0.0000
H  0.7500  0.0000  0.5000

***

No. 15
Crystalline HfSnH at its relaxed geometry. Source: Alexandria, functional PBE.

Properties
Fermi-level density of states (states/eV/cell): 1.26
Symmetry: No. 187
Total DFT energy (no corrections) (eV per atom): -6.141
Relative energy among the computed polymorphs (meV/atom): 0

abc: 3.4632 3.4632 4.5530
angles: 90.00 90.00 120.00
Positions (direct):
Hf  0.0000  0.0000  0.0000
Sn  0.6667  0.3333  0.5000
H  0.3333  0.6667  0.0000

***

No. 16
Crystalline Hf6SnH2 at its relaxed geometry. Source: Alexandria, functional PBE.

Properties
Fermi-level density of states (states/eV/cell): 7.02
Symmetry: No. 12
Total DFT energy (no corrections) (eV per atom): -7.717

abc: 5.9766 5.9766 7.7432
angles: 106.34 106.34 43.44
Positions (direct):
Hf  0.1013  0.1013  0.1809
Hf  0.2148  0.2148  0.8507
Hf  0.3392  0.3392  0.5205
Hf  0.6608  0.6608  0.4795
Hf  0.7852  0.7852  0.1493
Hf  0.8987  0.8987  0.8191
Sn  0.0000  0.0000  0.5000
H  0.2688  0.2688  0.1287
H  0.7312  0.7312  0.8713

***

No. 17
Crystalline Hf3SnH at its relaxed geometry. Source: Alexandria, functional PBE.

Properties
Fermi-level density of states (states/eV/cell): 5.25
Symmetry: No. 221
Total DFT energy (no corrections) (eV per atom): -7.761
Relative energy among the computed polymorphs (meV/atom): 0

abc: 4.4394 4.4394 4.4394
angles: 90.00 90.00 90.00
Positions (direct):
Hf  0.0000  0.0000  0.5000
Hf  0.0000  0.5000  0.0000
Hf  0.5000  0.0000  0.0000
Sn  0.5000  0.5000  0.5000
H  0.0000  0.0000  0.0000

***

No. 18
Crystalline Hf8Sn2H3 at its relaxed geometry. Source: Alexandria, functional PBE.

Properties
Fermi-level density of states (states/eV/cell): 7.39
Symmetry: No. 12
Total DFT energy (no corrections) (eV per atom): -7.560

abc: 7.5910 7.5910 5.4984
angles: 101.17 101.17 50.90
Positions (direct):
Hf  0.1506  0.1506  0.8844
Hf  0.1686  0.7000  0.6862
Hf  0.3000  0.8314  0.3138
Hf  0.3891  0.3891  0.1164
Hf  0.6109  0.6109  0.8836
Hf  0.7000  0.1686  0.6862
Hf  0.8314  0.3000  0.3138
Hf  0.8494  0.8494  0.1156
Sn  0.2565  0.2565  0.4592
Sn  0.7435  0.7435  0.5408
H  0.0000  0.0000  0.5000
H  0.3534  0.6466  0.0000
H  0.6466  0.3534  0.0000

***

No. 19
Crystalline Hf6Sn2H at its relaxed geometry. Source: Alexandria, functional PBE.

Properties
Fermi-level density of states (states/eV/cell): 16.49
Symmetry: No. 136
Total DFT energy (no corrections) (eV per atom): -7.578
Relative energy among the computed polymorphs (meV/atom): 611

abc: 5.5910 5.5910 13.5177
angles: 90.00 90.00 90.00
Positions (direct):
Hf  0.1817  0.1817  0.1122
Hf  0.1817  0.1817  0.8878
Hf  0.1939  0.1939  0.5000
Hf  0.3061  0.6939  0.0000
Hf  0.3183  0.6817  0.3878
Hf  0.3183  0.6817  0.6122
Hf  0.6817  0.3183  0.3878
Hf  0.6817  0.3183  0.6122
Hf  0.6939  0.3061  0.0000
Hf  0.8061  0.8061  0.5000
Hf  0.8183  0.8183  0.1122
Hf  0.8183  0.8183  0.8878
Sn  0.0000  0.0000  0.3021
Sn  0.0000  0.0000  0.6979
Sn  0.5000  0.5000  0.1979
Sn  0.5000  0.5000  0.8021
H  0.0000  0.0000  0.0000
H  0.5000  0.5000  0.5000

***

No. 20
Crystalline Hf5Sn5H2 at its relaxed geometry. Source: Alexandria, functional PBE.

Properties
Fermi-level density of states (states/eV/cell): 4.11
Symmetry: No. 12
Total DFT energy (no corrections) (eV per atom): -6.663

abc: 5.5763 5.5763 10.7848
angles: 91.62 91.62 42.90
Positions (direct):
Hf  0.0000  0.0000  0.0000
Hf  0.0772  0.0772  0.6845
Hf  0.3710  0.3710  0.8169
Hf  0.6290  0.6290  0.1831
Hf  0.9228  0.9228  0.3155
Sn  0.2141  0.2141  0.3825
Sn  0.3315  0.3315  0.1109
Sn  0.5000  0.5000  0.5000
Sn  0.6685  0.6685  0.8891
Sn  0.7859  0.7859  0.6175
H  0.0560  0.0560  0.1806
H  0.9440  0.9440  0.8194

***

No. 21
Crystalline Hf4SnH2 at its relaxed geometry. Source: Alexandria, functional PBE.

Properties
Fermi-level density of states (states/eV/cell): 2.28
Symmetry: No. 43
Total DFT energy (no corrections) (eV per atom): -7.416

abc: 6.9770 6.9264 8.7039
angles: 51.50 50.98 77.51
Positions (direct):
Hf  0.1669  0.3056  0.9546
Hf  0.2954  0.6771  0.0831
Hf  0.3056  0.1669  0.5729
Hf  0.3107  0.6893  0.4336
Hf  0.6771  0.2954  0.9444
Hf  0.6836  0.8164  0.5607
Hf  0.6893  0.3107  0.5664
Hf  0.8164  0.6836  0.9393
Sn  0.1189  0.1189  0.3811
Sn  0.8689  0.8689  0.1311
H  0.4388  0.5448  0.2579
H  0.4915  0.9921  0.7052
H  0.5448  0.4388  0.7585
H  0.9921  0.4915  0.8112